Na10B13C7 after structural relaxation. Source: Alexandria, functional GGA-PBE.

Cell: 11.531 11.531 9.928 Å, 107.43 107.43 14.07°
Positions (direct):
Na1 0.000 0.000 0.000
Na2 0.098 0.098 0.700
Na3 0.200 0.200 0.399
Na4 0.299 0.299 0.102
Na5 0.400 0.400 0.798
Na6 0.500 0.500 0.500
Na7 0.601 0.601 0.198
Na8 0.697 0.697 0.903
Na9 0.800 0.800 0.596
Na10 0.900 0.900 0.302
B1 0.085 0.085 0.423
B2 0.110 0.110 0.972
B3 0.181 0.181 0.116
B4 0.272 0.272 0.794
B5 0.319 0.319 0.388
B6 0.423 0.423 0.096
B7 0.491 0.491 0.232
B8 0.513 0.513 0.775
B9 0.679 0.679 0.610
B10 0.722 0.722 0.197
B11 0.815 0.815 0.880
B12 0.880 0.880 0.011
B13 0.916 0.916 0.580
C1 0.022 0.022 0.294
C2 0.211 0.211 0.673
C3 0.384 0.384 0.517
C4 0.578 0.578 0.907
C5 0.616 0.616 0.485
C6 0.786 0.786 0.325
C7 0.981 0.981 0.711

Output
The calculated volume comes out at 10.2 Å³/atom. The energy above the most stable polymorph in this dataset comes out at 3 meV per atom. As for the energy of formation: 0.09 eV per atom. The magnetization is 0.00 μB/f.u. As for the space group: Cm (8).